(1)
Material: TeSBr2
Method: DFT, PBE
State: optimized geometry

Properties
The polymorph energy (0 for the lowest one) comes out at 0.581 eV per atom. The calculation puts the electronic total energy at -2.20 eV/atom. The calculation puts the uncorrected formation energy at 0.450 eV per atom.

a b c (Å): 10.2922 10.2922 10.2922
angles (deg): 19.55 19.55 19.55
With the nearest neighbours (Å) after each atom.
Fractional positions:
Te  0.5000  0.5000  0.5000  6 Br 3.36, 6 Te 3.50
Br  0.0778  0.0778  0.0778  1 S 2.36
S  0.0000  0.0000  0.0000  2 Br 2.36
Br  0.9222  0.9222  0.9222  1 S 2.36

***

(2)
Material: CuPdW2N
Method: DFT, PBE
State: optimized geometry

Properties
The calculation puts the electronic total energy at -8.55 eV/atom. The calculation puts the uncorrected formation energy at 0.152 eV per atom.

a b c (Å): 4.0441 4.1291 4.0441
angles (deg): 90.00 90.00 90.00
With the nearest neighbours (Å) after each atom.
Fractional positions:
Pd  0.5000  0.5000  0.5000  4 Cu 2.86, 8 W 2.89
W  0.5000  0.0000  0.0000  2 N 2.02
Cu  0.0000  0.5000  0.0000  2 N 2.06
W  0.0000  0.0000  0.5000  2 N 2.02
N  0.0000  0.0000  0.0000  4 W 2.02, 2 Cu 2.06

***

(3)
Material: NdZnAg
Method: DFT, PBE
State: optimized geometry

Properties
As for the formation energy: -0.31 eV/atom. The calculation puts the electronic total energy at -3.28 eV/atom.

a b c (Å): 4.7195 5.9216 5.8394
angles (deg): 74.23 66.16 66.52
With the nearest neighbours (Å) after each atom.
Fractional positions:
Zn  0.1611  0.3767  0.3011  1 Zn 2.66, 2 Ag 2.72
Ag  0.8268  0.2116  0.1348  3 Zn 2.72-3.01, 1 Ag 2.87
Nd  0.5282  0.2191  0.7245  6 Ag 3.16-3.34, 6 Zn 3.21-3.30, 1 Nd 3.53
Ag  0.1732  0.7884  0.8652  3 Zn 2.72-3.01, 1 Ag 2.87
Nd  0.4718  0.7809  0.2755  6 Ag 3.16-3.34, 6 Zn 3.21-3.30, 1 Nd 3.53
Zn  0.8389  0.6233  0.6989  1 Zn 2.66, 2 Ag 2.72

***

(4)
Material: YEr3
Method: DFT, PBE
State: optimized geometry

Properties
The polymorph energy (0 for the lowest one) comes out at 0.141 eV per atom. As for the formation energy: 0.14 eV/atom. The calculation puts the electronic total energy at -4.90 eV/atom.

a b c (Å): 5.6303 5.6303 5.6303
angles (deg): 60.00 60.00 60.00
With the nearest neighbours (Å) after each atom.
Fractional positions:
Er  0.0000  0.0000  0.0000  8 Er 3.45
Y  0.5000  0.5000  0.5000  8 Er 3.45
Er  0.2500  0.2500  0.2500  4 Er 3.45, 4 Y 3.45
Er  0.7500  0.7500  0.7500  4 Y 3.45, 4 Er 3.45